1.
Here is an optimized crystal structure of Ac6Tb3Pm from Alexandria via LeMat-Bulk. Energies are from PBE.

Properties
Total magnetic moment in μB per formula unit: 0.0
E_form in eV/f.u.: 1.2

abc: 14.0028 3.7811 16.0905
angles: 90.00 109.01 90.00
Space group P2_1/m (No. 11)
Asymmetric unit:
1 Ac 0.0167 0.2500 0.4029
2 Ac 0.0499 0.7500 0.2000
3 Ac 0.2055 0.7500 0.8070
4 Ac 0.3279 0.7500 0.2218
5 Ac 0.3784 0.2500 0.0189
6 Ac 0.4557 0.7500 0.5942
7 Tb 0.1128 0.7500 0.9972
8 Tb 0.2202 0.2500 0.6085
9 Tb 0.2698 0.2500 0.3981
10 Pm 0.4291 0.2500 0.7986

=====

2.
Here is an optimized crystal structure of RbZr2Be from Alexandria via LeMat-Bulk. Energies are from PBE.

Properties
Total magnetic moment in μB per formula unit: 0.0
E_form in eV/f.u.: 5.4

abc: 5.7597 5.7597 16.5172
angles: 90.00 90.00 90.00
Space group I4_1/amd (No. 141, origin choice 2)
Asymmetric unit:
1 Rb 0.0000 0.2500 0.3750
2 Zr 0.0000 0.0000 0.0000
3 Be 0.0000 0.2500 0.8750

=====

3.
Here is an optimized crystal structure of LaNi13 from Alexandria via LeMat-Bulk. Energies are from PBE.

Properties
Total magnetic moment in μB per formula unit: 6.6
E_form in eV/f.u.: -1.3

abc: 11.2655 11.2655 11.2655
angles: 90.00 90.00 90.00
Space group Fm-3c (No. 226)
Asymmetric unit:
1 La 0.2500 0.2500 0.2500
2 Ni 0.0000 0.0000 0.0000
3 Ni 0.0000 0.1159 0.1798

=====

4.
Here is an optimized crystal structure of CdNi8 from Alexandria via LeMat-Bulk. Energies are from PBE.

Properties
Total magnetic moment in μB per formula unit: 3.9
E_form in eV/f.u.: 0.7

abc: 7.6883 7.6883 3.6045
angles: 90.00 90.00 90.00
Space group I4/mmm (No. 139)
Asymmetric unit:
1 Cd 0.0000 0.0000 0.0000
2 Ni 0.0000 0.3415 0.0000
3 Ni 0.1765 0.1765 0.5000